Compound: BaFeO2
Source: Alexandria
Functional: PBE+U
Structure: optimized geometry

Output
N(E_F) = 0.00 states/eV/cell
uncorrected energy = -6.161 eV per atom

Cell: 6.6212 6.6212 6.6212 Å, 133.70 133.70 67.56°
Positions (direct):
Ba1 0.0000 0.0000 0.0000
Ba2 0.7500 0.2500 0.5000
Fe1 0.2500 0.7500 0.5000
Fe2 0.5000 0.5000 0.0000
O1 0.2129 0.6250 0.0879
O2 0.3750 0.4629 0.5879
O3 0.5371 0.1250 0.9121
O4 0.8750 0.7871 0.4121